No. 1
The following is a GGA-PBE calculation of a geometry-optimized Th3PaAl8 structure, from the Alexandria database.

Energy of formation: -0.37 eV/atom
DFT total energy: -5.51 eV/atom

a b c (Å): 9.7769 9.7769 9.7769
angles (deg): 33.61 33.61 33.61
Atoms (fractional coordinates):
Th 0.0000 0.0000 0.0000
Th 0.1255 0.1255 0.1255
Th 0.5043 0.5043 0.5043
Pa 0.6249 0.6249 0.6249
Al 0.0612 0.5633 0.5633
Al 0.0645 0.0645 0.5642
Al 0.0645 0.5642 0.0645
Al 0.3133 0.3133 0.3133
Al 0.5633 0.0612 0.5633
Al 0.5633 0.5633 0.0612
Al 0.5642 0.0645 0.0645
Al 0.8135 0.8135 0.8135

=====

No. 2
The following is a GGA-PBE calculation of a geometry-optimized Sr2Ca3Pb4 structure, from the Alexandria database.

Energy of formation: -0.55 eV/atom
DFT total energy: -3.23 eV/atom

a b c (Å): 8.8239 8.7519 8.3773
angles (deg): 90.00 107.59 90.00
Atoms (fractional coordinates):
Sr 0.1928 0.1766 0.0642
Sr 0.1928 0.3234 0.5642
Sr 0.8072 0.6766 0.4358
Sr 0.8072 0.8234 0.9358
Ca 0.2477 0.6696 0.2489
Ca 0.2477 0.8304 0.7489
Ca 0.5000 0.0000 0.5000
Ca 0.5000 0.5000 0.0000
Ca 0.7523 0.1696 0.2511
Ca 0.7523 0.3304 0.7511
Pb 0.0789 0.5339 0.8572
Pb 0.0789 0.9661 0.3572
Pb 0.4972 0.1282 0.8712
Pb 0.4972 0.3718 0.3712
Pb 0.5028 0.6282 0.6288
Pb 0.5028 0.8718 0.1288
Pb 0.9211 0.0339 0.6428
Pb 0.9211 0.4661 0.1428

=====

No. 3
The following is a GGA-PBE calculation of a geometry-optimized ZrReBr2 structure, from the Alexandria database.

Relative energy among the computed polymorphs: 567 meV per atom
DFT total energy: -5.75 eV/atom
Raw formation energy: 0.334 eV per atom

a b c (Å): 9.2261 9.2261 9.2261
angles (deg): 20.04 20.04 20.04
Atoms (fractional coordinates):
Zr 0.0000 0.0000 0.0000
Re 0.5000 0.5000 0.5000
Br 0.4085 0.4085 0.4085
Br 0.5915 0.5915 0.5915

=====

No. 4
The following is a GGA-PBE calculation of a geometry-optimized Pm2AgP3Pd4 structure, from the Alexandria database.

Energy of formation: -0.80 eV/atom
DFT total energy: -5.73 eV/atom

a b c (Å): 4.1525 4.1525 10.5593
angles (deg): 90.00 90.00 90.00
Atoms (fractional coordinates):
Pm 0.0000 0.5000 0.2358
Pm 0.5000 0.0000 0.7642
Ag 0.0000 0.0000 0.5000
P 0.0000 0.5000 0.8693
P 0.5000 0.0000 0.1307
P 0.5000 0.5000 0.5000
Pd 0.0000 0.0000 0.0000
Pd 0.0000 0.5000 0.6508
Pd 0.5000 0.0000 0.3492
Pd 0.5000 0.5000 0.0000

=====

Repeat the first record exactly.
The following is a GGA-PBE calculation of a geometry-optimized Th3PaAl8 structure, from the Alexandria database.

Energy of formation: -0.37 eV/atom
DFT total energy: -5.51 eV/atom

a b c (Å): 9.7769 9.7769 9.7769
angles (deg): 33.61 33.61 33.61
Atoms (fractional coordinates):
Th 0.0000 0.0000 0.0000
Th 0.1255 0.1255 0.1255
Th 0.5043 0.5043 0.5043
Pa 0.6249 0.6249 0.6249
Al 0.0612 0.5633 0.5633
Al 0.0645 0.0645 0.5642
Al 0.0645 0.5642 0.0645
Al 0.3133 0.3133 0.3133
Al 0.5633 0.0612 0.5633
Al 0.5633 0.5633 0.0612
Al 0.5642 0.0645 0.0645
Al 0.8135 0.8135 0.8135